[1]
The following is a DFT calculation (PBE) of a relaxed Zn2AgP crystal.

Cell: 3.4685 3.4685 5.3956 Å, 90.00 90.00 90.00°
Last column: nearest neighbours and their distance in Å.
Element x y z (fractional)
Zn (0.0000, 0.0000, 0.0000)  4 P 2.66, 2 Ag 2.70, 4 Zn 2.85
Zn (0.5000, 0.5000, 0.2707)  1 P 2.50, 4 Ag 2.75
Ag (0.0000, 0.0000, 0.4995)  6 Zn 2.70-2.75, 4 P 2.96
P (0.5000, 0.5000, 0.8069)  5 Zn 2.50-2.66

Summary:
**ρ**: 6898 kg/m3
**Formation enthalpy at 0 K**: 0.16 eV/atom
**Total energy**: -2.547 eV/atom
**Symmetry**: P4mm, No. 99

***

[2]
The following is a DFT calculation (PBE) of a relaxed RbNa3Hg3 crystal.

Cell: 9.9920 5.3884 9.9947 Å, 90.00 119.96 90.00°
Last column: nearest neighbours and their distance in Å.
Element x y z (fractional)
Rb (0.1668, 0.2500, 0.3333)  9 Hg 3.51-3.67
Rb (0.8332, 0.7500, 0.6667)  9 Hg 3.51-3.67
Na (0.2497, 0.2500, 0.9824)  4 Hg 3.23-3.40
Na (0.2670, 0.7500, 0.7496)  4 Hg 3.23-3.40
Na (0.4825, 0.7500, 0.2328)  4 Hg 3.23-3.40
Na (0.5175, 0.2500, 0.7672)  4 Hg 3.23-3.40
Na (0.7330, 0.2500, 0.2504)  4 Hg 3.23-3.40
Na (0.7503, 0.7500, 0.0176)  4 Hg 3.23-3.40
Hg (0.0486, 0.2500, 0.6099)  4 Na 3.23-3.40, 2 Hg 3.30, 1 Rb 3.51
Hg (0.1100, 0.7500, 0.0612)  4 Na 3.23-3.40, 2 Hg 3.30, 1 Rb 3.51
Hg (0.4386, 0.7500, 0.5486)  4 Na 3.23-3.40, 2 Hg 3.30, 1 Rb 3.51
Hg (0.5614, 0.2500, 0.4514)  4 Na 3.23-3.40, 2 Hg 3.30, 1 Rb 3.51
Hg (0.8900, 0.2500, 0.9388)  4 Na 3.23-3.40, 2 Hg 3.30, 1 Rb 3.51
Hg (0.9514, 0.7500, 0.3901)  4 Na 3.23-3.40, 2 Hg 3.30, 1 Rb 3.51

Summary:
**ρ**: 5387 kg/m3
**Polymorph energy (0 for the lowest one)**: 0.000 eV/atom
**Formation enthalpy at 0 K**: -0.18 eV/atom
**Total energy**: -1.014 eV/atom
**Symmetry**: P2_1/m, No. 11